No. 1
Below is crystalline Tb4PmNd2Sm at its relaxed geometry, with properties calculated at the GGA-PBE level.

## Properties
Spin magnetization in μB/cell: 0.0
Volume in Å³ per cell: 265.8
Energy of formation from the pure elements in eV per atom: 0.015

a b c (Å): 6.2518 3.6197 11.9375
angles (deg): 90.00 100.27 90.00
Space group P2/m (No. 10)
One atom of each set of equivalent atoms:
Tb1 0.2499 0.0000 0.2497 [2 per cell]
Tb2 0.2496 0.5000 0.7501 [2 per cell]
Pm1 0.0000 0.0000 0.5000 [1 per cell]
Nd1 0.5000 0.0000 0.0000 [1 per cell]
Nd2 0.5000 0.5000 0.5000 [1 per cell]
Sm1 0.0000 0.5000 0.0000 [1 per cell]

=====

No. 2
Below is crystalline TlRe2Ni at its relaxed geometry, with properties calculated at the GGA-PBE level.

## Properties
Spin magnetization in μB/cell: 0.0
Volume in Å³ per cell: 129.1
Energy of formation from the pure elements in eV per atom: 0.602
Distance to the lowest polymorph of the same formula in eV per atom: 0.082

a b c (Å): 2.7835 4.4173 10.5000
angles (deg): 90.00 90.00 90.00
Space group Immm (No. 71)
One atom of each set of equivalent atoms:
Tl1 0.0000 0.0000 0.0000 [2 per cell]
Re1 0.0000 0.5000 0.2113 [4 per cell]
Ni1 0.0000 0.0000 0.5000 [2 per cell]

=====

No. 3
Below is crystalline Tb6Sm3Dy at its relaxed geometry, with properties calculated at the GGA-PBE level.

## Properties
Spin magnetization in μB/cell: 0.0
Volume in Å³ per cell: 1316.0
Energy of formation from the pure elements in eV per atom: 0.148
Distance to the lowest polymorph of the same formula in eV per atom: 0.000

a b c (Å): 10.9569 18.9699 6.3314
angles (deg): 90.00 90.00 90.00
Space group Cmc2_1 (No. 36)
One atom of each set of equivalent atoms:
Tb1 0.0000 0.0404 0.0000 [4 per cell]
Tb2 0.0000 0.2745 0.2314 [4 per cell]
Tb3 0.1669 0.4550 0.3319 [8 per cell]
Tb4 0.2396 0.2905 0.5111 [8 per cell]
Sm1 0.0000 0.3877 0.8074 [4 per cell]
Sm2 0.1738 0.1130 0.4180 [8 per cell]
Dy1 0.0000 0.1973 0.7498 [4 per cell]

=====

No. 4
Below is crystalline Mo2WAu at its relaxed geometry, with properties calculated at the GGA-PBE level.

## Properties
Spin magnetization in μB/cell: 0.0
Volume in Å³ per cell: 65.8
Energy of formation from the pure elements in eV per atom: 0.327
Distance to the lowest polymorph of the same formula in eV per atom: 0.179

a b c (Å): 2.6944 2.6944 9.0673
angles (deg): 90.00 90.00 90.00
Space group P4mm (No. 99)
One atom of each set of equivalent atoms:
Mo1 0.0000 0.0000 0.0000 [1 per cell]
Mo2 0.5000 0.5000 0.2499 [1 per cell]
W1 0.0000 0.0000 0.4996 [1 per cell]
Au1 0.5000 0.5000 0.7491 [1 per cell]

=====

No. 5
Below is crystalline DyAl2Ni2Ge at its relaxed geometry, with properties calculated at the GGA-PBE level.

## Properties
Spin magnetization in μB/cell: 0.0
Volume in Å³ per cell: 105.4
Energy of formation from the pure elements in eV per atom: -0.328

a b c (Å): 4.3679 4.3679 5.5255
angles (deg): 90.00 90.00 90.00
Space group P4/mmm (No. 123)
One atom of each set of equivalent atoms:
Dy1 0.0000 0.0000 0.0000 [1 per cell]
Al1 0.5000 0.5000 0.2430 [2 per cell]
Ni1 0.0000 0.5000 0.5000 [2 per cell]
Ge1 0.0000 0.0000 0.5000 [1 per cell]

=====

No. 6
Below is crystalline Ce2DyZrN5 at its relaxed geometry, with properties calculated at the GGA-PBE level.

## Properties
Spin magnetization in μB/cell: 0.0
Volume in Å³ per cell: 563.6
Raw total energy in eV per atom: -8.8252

a b c (Å): 3.5892 13.7996 11.3791
angles (deg): 90.00 90.00 90.00
Space group Cmc2_1 (No. 36)
One atom of each set of equivalent atoms:
Ce1 0.0000 0.1315 0.0000 [4 per cell]
Ce2 0.0000 0.1361 0.5267 [4 per cell]
Dy1 0.0000 0.2396 0.2741 [4 per cell]
Zr1 0.0000 0.4903 0.7707 [4 per cell]
N1 0.0000 0.0724 0.3258 [4 per cell]
N2 0.0000 0.2763 0.9282 [4 per cell]
N3 0.0000 0.2859 0.6322 [4 per cell]
N4 0.0000 0.3860 0.3733 [4 per cell]
N5 0.0000 0.4532 0.0997 [4 per cell]

=====

No. 7
Below is crystalline MoPtSe2 at its relaxed geometry, with properties calculated at the GGA-PBE level.

## Properties
Spin magnetization in μB/cell: 0.0
Volume in Å³ per cell: 143.7
Distance to the lowest polymorph of the same formula in eV per atom: 0.413

a b c (Å): 6.2674 8.4829 2.7023
angles (deg): 90.00 90.00 90.00
Space group Cmmm (No. 65)
One atom of each set of equivalent atoms:
Mo1 0.0000 0.0000 0.0000 [2 per cell]
Pt1 0.0000 0.5000 0.0000 [2 per cell]
Se1 0.2500 0.2500 0.0000 [4 per cell]

=====

No. 8
Below is crystalline RbMg14Si at its relaxed geometry, with properties calculated at the GGA-PBE level.

## Properties
Spin magnetization in μB/cell: 0.0
Volume in Å³ per cell: 389.1
Distance to the lowest polymorph of the same formula in eV per atom: 0.020

a b c (Å): 6.5419 6.5419 10.4989
angles (deg): 90.00 90.00 120.00
Space group P-6m2 (No. 187)
One atom of each set of equivalent atoms:
Rb1 0.0000 0.0000 0.0000 [1 per cell]
Mg1 0.0106 0.5053 0.0000 [3 per cell]
Mg2 0.1669 0.3338 0.2763 [6 per cell]
Mg3 0.5073 0.0147 0.5000 [3 per cell]
Mg4 0.6667 0.3333 0.2422 [2 per cell]
Si1 0.0000 0.0000 0.5000 [1 per cell]

=====

No. 9
Below is crystalline NdEr4Pd5 at its relaxed geometry, with properties calculated at the GGA-PBE level.

## Properties
Spin magnetization in μB/cell: 0.0
Volume in Å³ per cell: 215.4
Energy of formation from the pure elements in eV per atom: -0.881

a b c (Å): 3.4670 3.4670 17.9169
angles (deg): 90.00 90.00 90.00
Space group P4/mmm (No. 123)
One atom of each set of equivalent atoms:
Nd1 0.0000 0.0000 0.0000 [1 per cell]
Er1 0.0000 0.0000 0.2056 [2 per cell]
Er2 0.0000 0.0000 0.4022 [2 per cell]
Pd1 0.5000 0.5000 0.1135 [2 per cell]
Pd2 0.5000 0.5000 0.3042 [2 per cell]
Pd3 0.5000 0.5000 0.5000 [1 per cell]

=====

No. 10
Below is crystalline InHgBr at its relaxed geometry, with properties calculated at the GGA-PBE level.

## Properties
Spin magnetization in μB/cell: 0.0
Volume in Å³ per cell: 437.0
Distance to the lowest polymorph of the same formula in eV per atom: 0.034

a b c (Å): 7.5884 7.5884 7.5884
angles (deg): 90.00 90.00 90.00
Space group F-43m (No. 216)
One atom of each set of equivalent atoms:
In1 0.0000 0.0000 0.0000 [4 per cell]
Hg1 0.2500 0.2500 0.2500 [4 per cell]
Br1 0.2500 0.2500 0.7500 [4 per cell]

=====

No. 11
Below is crystalline NaGa2Hg8 at its relaxed geometry, with properties calculated at the GGA-PBE level.

## Properties
Spin magnetization in μB/cell: 0.0
Volume in Å³ per cell: 577.0
Energy of formation from the pure elements in eV per atom: -0.021

a b c (Å): 8.9409 13.6185 4.9097
angles (deg): 90.00 105.14 90.00
Space group C2/m (No. 12)
One atom of each set of equivalent atoms:
Na1 0.0000 0.0000 0.0000 [2 per cell]
Ga1 0.0000 0.3477 0.5000 [4 per cell]
Hg1 0.0000 0.2354 0.0000 [4 per cell]
Hg2 0.1417 0.5000 0.8827 [4 per cell]
Hg3 0.1917 0.1269 0.5928 [8 per cell]

=====

No. 12
Below is crystalline KRb2Ag2I6 at its relaxed geometry, with properties calculated at the GGA-PBE level.

## Properties
Spin magnetization in μB/cell: 0.0
Volume in Å³ per cell: 1024.0
Raw total energy in eV per atom: -2.4795

a b c (Å): 15.6928 7.7082 9.5168
angles (deg): 90.00 117.19 90.00
Space group C2/m (No. 12)
One atom of each set of equivalent atoms:
K1 0.0000 0.0000 0.0000 [2 per cell]
Rb1 0.2349 0.0000 0.7287 [4 per cell]
Ag1 0.0546 0.5000 0.6795 [4 per cell]
I1 0.0760 0.2413 0.3510 [8 per cell]
I2 0.2483 0.5000 0.8667 [4 per cell]

=====

What did the twelfth record say?
Below is crystalline KRb2Ag2I6 at its relaxed geometry, with properties calculated at the GGA-PBE level.

## Properties
Spin magnetization in μB/cell: 0.0
Volume in Å³ per cell: 1024.0
Raw total energy in eV per atom: -2.4795

a b c (Å): 15.6928 7.7082 9.5168
angles (deg): 90.00 117.19 90.00
Space group C2/m (No. 12)
One atom of each set of equivalent atoms:
K1 0.0000 0.0000 0.0000 [2 per cell]
Rb1 0.2349 0.0000 0.7287 [4 per cell]
Ag1 0.0546 0.5000 0.6795 [4 per cell]
I1 0.0760 0.2413 0.3510 [8 per cell]
I2 0.2483 0.5000 0.8667 [4 per cell]